Version A
The following is a DFT calculation (GGA-PBEsol) of an optimized crystal structure of Sc2CrCu.

D(E_F) in states/eV/atom: 1.374
Calculated density in g/cm³: 4.80
Volume in Å³ per atom: 17.75

abc: 3.025 3.025 9.126
angles: 80.46 80.46 60.00
Last column: magnetic moment on the atom in μB.
Fractional positions:
Cr: 0.507 0.507 0.479  2.71
Cu: 0.244 0.244 0.267  0.10
Sc: 0.989 0.989 0.032  0.13
Sc: 0.759 0.759 0.723  -0.21

Version B
The following is a DFT calculation (GGA-PBEsol) of an optimized crystal structure of Sc2CrCu.

D(E_F) in states/eV/atom: 0.841
Calculated density in g/cm³: 5.00
Volume in Å³ per atom: 17.06

abc: 4.587 4.587 4.587
angles: 60.00 60.00 60.00
Last column: magnetic moment on the atom in μB.
Fractional positions:
Cr: 0.500 0.500 0.500  2.90
Cu: 0.000 0.000 0.000  0.02
Sc: 0.250 0.250 0.250  -0.03
Sc: 0.750 0.750 0.750  -0.03

Here are the energies relative to the best structure, in kJ/mol of atoms: version A 32.5; version B 0.0.

Version A
The following is a DFT calculation (GGA-PBEsol) of an optimized crystal structure of MnTc2.

D(E_F) in states/eV/atom: 1.112
Calculated density in g/cm³: 10.85
Volume in Å³ per atom: 12.80

abc: 2.658 5.011 6.188
angles: 104.27 90.00 105.38
Fractional positions:
Mn: 0.026 0.053 0.807
Mn: 0.974 0.947 0.193
Tc: 0.634 0.269 0.530
Tc: 0.319 0.638 0.869
Tc: 0.681 0.362 0.131
Tc: 0.366 0.731 0.470

Version B
The following is a DFT calculation (GGA-PBEsol) of an optimized crystal structure of MnTc2.

D(E_F) in states/eV/atom: 0.856
Calculated density in g/cm³: 10.71
Volume in Å³ per atom: 12.97

abc: 4.567 4.718 4.718
angles: 76.45 61.05 61.05
Fractional positions:
Mn: 0.750 0.000 0.000
Mn: 0.250 0.000 0.000
Tc: 0.650 0.500 0.200
Tc: 0.150 0.200 0.500
Tc: 0.850 0.800 0.500
Tc: 0.350 0.500 0.800

Here are the energies relative to the best structure, in kJ/mol of atoms: version A 5.3; version B 0.0.

Version A
The following is a DFT calculation (GGA-PBEsol) of an optimized crystal structure of Mg2TlPb.

D(E_F) in states/eV/atom: 0.401
Calculated density in g/cm³: 7.51
Volume in Å³ per atom: 25.44

abc: 3.675 5.648 5.948
angles: 118.34 107.99 90.00
Fractional positions:
Pb: 0.000 0.500 0.000
Tl: 0.500 0.000 0.000
Mg: 0.755 0.755 0.510
Mg: 0.245 0.245 0.490

Version B
The following is a DFT calculation (GGA-PBEsol) of an optimized crystal structure of Mg2TlPb.

D(E_F) in states/eV/atom: 0.400
Calculated density in g/cm³: 7.61
Volume in Å³ per atom: 25.09

abc: 3.412 4.619 6.369
angles: 90.00 90.00 90.00
Fractional positions:
Pb: 0.000 0.000 0.482
Tl: 0.500 0.500 0.772
Mg: 0.000 0.000 0.990
Mg: 0.500 0.500 0.255

Here are the energies relative to the best structure, in kJ/mol of atoms: version A 2.7; version B 0.0.

Version A
The following is a DFT calculation (GGA-PBEsol) of an optimized crystal structure of LiZn2Au.

D(E_F) in states/eV/atom: 0.324
Calculated density in g/cm³: 9.76
Volume in Å³ per atom: 14.24

abc: 3.846 3.846 4.713
angles: 114.03 114.08 90.00
Fractional positions:
Zn: 0.000 0.000 0.000
Zn: 0.250 0.750 0.500
Au: 0.500 0.500 0.000
Li: 0.750 0.250 0.500

Version B
The following is a DFT calculation (GGA-PBEsol) of an optimized crystal structure of LiZn2Au.

D(E_F) in states/eV/atom: 0.243
Calculated density in g/cm³: 9.58
Volume in Å³ per atom: 14.51

abc: 3.228 3.228 5.567
angles: 90.00 90.00 90.00
Fractional positions:
Zn: 0.000 0.000 0.740
Zn: 0.000 0.000 0.260
Au: 0.500 0.500 0.000
Li: 0.500 0.500 0.500

Here are the energies relative to the best structure, in kJ/mol of atoms: version A 0.0; version B 6.1.

Version A
The following is a DFT calculation (GGA-PBEsol) of an optimized crystal structure of CdRuCl2.

D(E_F) in states/eV/atom: 0.759
Calculated density in g/cm³: 7.07
Volume in Å³ per atom: 16.70

abc: 3.213 4.560 4.560
angles: 90.00 90.00 90.00
Fractional positions:
Ru: 0.500 0.500 0.500
Cl: 0.000 0.000 0.500
Cl: 0.000 0.500 0.000
Cd: 0.500 0.000 0.000

Version B
The following is a DFT calculation (GGA-PBEsol) of an optimized crystal structure of CdRuCl2.

D(E_F) in states/eV/atom: 0.616
Calculated density in g/cm³: 5.48
Volume in Å³ per atom: 21.54

abc: 3.025 5.346 6.197
angles: 115.20 90.00 106.44
Fractional positions:
Ru: 0.446 0.892 0.625
Cl: 0.025 0.050 0.949
Cl: 0.849 0.698 0.303
Cd: 0.180 0.360 0.623

Here are the energies relative to the best structure, in kJ/mol of atoms: version A 60.3; version B 0.0.

Version A
The following is a DFT calculation (GGA-PBEsol) of an optimized crystal structure of SiAgBr2.

D(E_F) in states/eV/atom: 0.164
Calculated density in g/cm³: 4.83
Volume in Å³ per atom: 25.42

abc: 3.596 4.029 7.513
angles: 105.36 103.85 90.00
Fractional positions:
Ag: 0.000 0.500 0.000
Br: 0.851 0.852 0.701
Br: 0.149 0.148 0.299
Si: 0.500 0.000 0.000

Version B
The following is a DFT calculation (GGA-PBEsol) of an optimized crystal structure of SiAgBr2.

D(E_F) in states/eV/atom: 0.308
Calculated density in g/cm³: 5.83
Volume in Å³ per atom: 21.06

abc: 4.921 4.921 4.921
angles: 60.00 60.00 60.00
Fractional positions:
Ag: 0.000 0.000 0.000
Br: 0.250 0.250 0.250
Br: 0.750 0.750 0.750
Si: 0.500 0.500 0.500

Here are the energies relative to the best structure, in kJ/mol of atoms: version A 0.0; version B 23.6.